[1]
VASP calculation (PBE-GGA) on a relaxed structure of Ti4In3H2.

abc: 6.807 6.807 7.743
angles: 114.79 114.79 25.85
Sites, in units of the cell vectors:
Ti: 0.143 0.143 0.430
Ti: 0.279 0.279 0.869
Ti: 0.721 0.721 0.131
Ti: 0.857 0.857 0.570
In: 0.000 0.000 0.000
In: 0.426 0.426 0.293
In: 0.574 0.574 0.707
H: 0.291 0.291 0.628
H: 0.709 0.709 0.372

## Properties
space group: C2/m
energy above the most stable polymorph in this dataset: 0 meV per atom

[2]
VASP calculation (PBE-GGA) on a relaxed structure of Cs3ZrS3.

abc: 8.526 14.259 11.033
angles: 90.00 126.51 90.00
Sites, in units of the cell vectors:
Cs: 0.097 0.143 0.483
Cs: 0.097 0.357 0.983
Cs: 0.131 0.071 0.886
Cs: 0.131 0.429 0.386
Cs: 0.365 0.687 0.565
Cs: 0.365 0.813 0.065
Cs: 0.635 0.187 0.935
Cs: 0.635 0.313 0.435
Cs: 0.869 0.571 0.614
Cs: 0.869 0.929 0.114
Cs: 0.903 0.643 0.017
Cs: 0.903 0.857 0.517
Zr: 0.441 0.053 0.349
Zr: 0.441 0.447 0.849
Zr: 0.559 0.553 0.151
Zr: 0.559 0.947 0.651
S: 0.152 0.155 0.196
S: 0.152 0.345 0.696
S: 0.358 0.609 0.882
S: 0.358 0.891 0.382
S: 0.372 0.542 0.254
S: 0.372 0.958 0.754
S: 0.628 0.042 0.246
S: 0.628 0.458 0.746
S: 0.642 0.109 0.618
S: 0.642 0.391 0.118
S: 0.848 0.655 0.304
S: 0.848 0.845 0.804

## Properties
formation energy (no corrections): -1302 meV per atom
space group: P2_1/c

[3]
VASP calculation (PBE-GGA) on a relaxed structure of AcSc4Al3S12.

abc: 8.146 8.146 8.146
angles: 109.47 109.47 109.47
Sites, in units of the cell vectors:
Ac: 0.000 0.000 0.000
Sc: 0.000 0.000 0.500
Sc: 0.000 0.500 0.000
Sc: 0.500 0.000 0.000
Sc: 0.500 0.500 0.500
Al: 0.000 0.500 0.500
Al: 0.500 0.000 0.500
Al: 0.500 0.500 0.000
S: 0.148 0.316 0.832
S: 0.168 0.483 0.316
S: 0.168 0.852 0.684
S: 0.316 0.168 0.483
S: 0.316 0.832 0.148
S: 0.483 0.316 0.168
S: 0.517 0.684 0.832
S: 0.684 0.168 0.852
S: 0.684 0.832 0.517
S: 0.832 0.148 0.316
S: 0.832 0.517 0.684
S: 0.852 0.684 0.168

## Properties
formation energy (no corrections): -1476 meV per atom
space group: Im-3

[4]
VASP calculation (PBE-GGA) on a relaxed structure of La2CrCdTe.

abc: 5.930 5.930 5.013
angles: 90.00 90.00 90.00
Sites, in units of the cell vectors:
La: 0.000 0.500 0.000
La: 0.500 0.000 0.000
Cr: 0.000 0.000 0.500
Cd: 0.000 0.000 0.000
Te: 0.500 0.500 0.500

## Properties
formation energy (no corrections): 170 meV per atom
space group: P4/mmm

[5]
VASP calculation (PBE-GGA) on a relaxed structure of SrAgRu4.

abc: 5.340 5.340 5.340
angles: 60.00 60.00 60.00
Sites, in units of the cell vectors:
Sr: 0.000 0.000 0.000
Ag: 0.750 0.750 0.750
Ru: 0.376 0.376 0.376
Ru: 0.376 0.376 0.873
Ru: 0.376 0.873 0.376
Ru: 0.873 0.376 0.376

## Properties
energy of formation: 0.550 eV/atom
space group: F-43m

[6]
VASP calculation (PBE-GGA) on a relaxed structure of Pm3Dy2Hg2.

abc: 8.619 8.619 8.619
angles: 36.79 36.79 36.79
Sites, in units of the cell vectors:
Pm: 0.000 0.000 0.000
Pm: 0.159 0.159 0.159
Pm: 0.841 0.841 0.841
Dy: 0.425 0.425 0.425
Dy: 0.575 0.575 0.575
Hg: 0.288 0.288 0.288
Hg: 0.712 0.712 0.712

## Properties
energy of formation: -0.240 eV/atom
space group: R-3m
energy above the most stable polymorph in this dataset: 0 meV per atom

[7]
VASP calculation (PBE-GGA) on a relaxed structure of Sc2BeTl.

abc: 6.119 6.119 6.119
angles: 105.02 105.02 118.80
Sites, in units of the cell vectors:
Sc: 0.084 0.625 0.959
Sc: 0.375 0.334 0.459
Sc: 0.666 0.125 0.041
Sc: 0.875 0.916 0.541
Be: 0.000 0.000 0.000
Be: 0.750 0.250 0.500
Tl: 0.250 0.750 0.500
Tl: 0.500 0.500 0.000

## Properties
energy of formation: 0.262 eV/atom
space group: I-42d
energy above the most stable polymorph in this dataset: 407 meV per atom

[8]
VASP calculation (PBE-GGA) on a relaxed structure of CaIn6Pd12.

abc: 7.542 7.542 7.542
angles: 107.38 107.38 107.38
Sites, in units of the cell vectors:
Ca: 0.000 0.000 0.000
In: 0.083 0.211 0.482
In: 0.211 0.482 0.083
In: 0.482 0.083 0.211
In: 0.518 0.917 0.789
In: 0.789 0.518 0.917
In: 0.917 0.789 0.518
Pd: 0.132 0.829 0.269
Pd: 0.171 0.731 0.868
Pd: 0.183 0.584 0.474
Pd: 0.269 0.132 0.829
Pd: 0.416 0.526 0.817
Pd: 0.474 0.183 0.584
Pd: 0.526 0.817 0.416
Pd: 0.584 0.474 0.183
Pd: 0.731 0.868 0.171
Pd: 0.817 0.416 0.526
Pd: 0.829 0.269 0.132
Pd: 0.868 0.171 0.731

## Properties
energy of formation: -0.410 eV/atom
space group: R-3

[9]
VASP calculation (PBE-GGA) on a relaxed structure of Er2In3Pb3.

abc: 4.623 5.047 9.217
angles: 90.00 90.00 90.00
Sites, in units of the cell vectors:
Er: 0.000 0.000 0.246
Er: 0.000 0.000 0.754
In: 0.000 0.500 0.000
In: 0.500 0.500 0.242
In: 0.500 0.500 0.758
Pb: 0.000 0.500 0.500
Pb: 0.500 0.000 0.000
Pb: 0.500 0.000 0.500

## Properties
energy of formation: -0.290 eV/atom
space group: Pmmm

[10]
VASP calculation (PBE-GGA) on a relaxed structure of Rb3RhBr6.

abc: 7.961 8.175 13.712
angles: 90.00 124.07 90.00
Sites, in units of the cell vectors:
Rb: 0.000 0.000 0.000
Rb: 0.000 0.500 0.500
Rb: 0.276 0.070 0.756
Rb: 0.276 0.430 0.256
Rb: 0.724 0.570 0.744
Rb: 0.724 0.930 0.244
Rh: 0.500 0.000 0.500
Rh: 0.500 0.500 0.000
Br: 0.195 0.019 0.290
Br: 0.195 0.481 0.790
Br: 0.292 0.668 0.051
Br: 0.292 0.832 0.551
Br: 0.391 0.240 0.050
Br: 0.391 0.260 0.550
Br: 0.609 0.740 0.450
Br: 0.609 0.760 0.950
Br: 0.708 0.168 0.449
Br: 0.708 0.332 0.949
Br: 0.805 0.519 0.210
Br: 0.805 0.981 0.710

## Properties
formation energy (no corrections): -1192 meV per atom
space group: P2_1/c
energy above the most stable polymorph in this dataset: 0 meV per atom

[11]
VASP calculation (PBE-GGA) on a relaxed structure of InNiSn2.

abc: 9.103 9.103 9.103
angles: 148.93 148.93 44.52
Sites, in units of the cell vectors:
In: 0.000 0.000 0.000
In: 0.750 0.250 0.500
Ni: 0.250 0.750 0.500
Ni: 0.500 0.500 0.000
Sn: 0.197 0.625 0.072
Sn: 0.375 0.447 0.572
Sn: 0.553 0.125 0.928
Sn: 0.875 0.803 0.428

## Properties
energy of formation: 0.162 eV/atom
space group: I-42d

[12]
VASP calculation (PBE-GGA) on a relaxed structure of LiZnNi3.

abc: 4.474 4.670 8.183
angles: 73.49 82.65 63.16
Sites, in units of the cell vectors:
Li: 0.250 0.138 0.224
Li: 0.750 0.862 0.776
Zn: 0.251 0.423 0.654
Zn: 0.749 0.577 0.346
Ni: 0.000 0.000 0.500
Ni: 0.241 0.031 0.948
Ni: 0.259 0.521 0.948
Ni: 0.500 0.000 0.500
Ni: 0.741 0.479 0.052
Ni: 0.759 0.969 0.052

## Properties
energy of formation: 0.312 eV/atom
space group: P-1
energy above the most stable polymorph in this dataset: 143 meV per atom

[13]
VASP calculation (PBE-GGA) on a relaxed structure of KTeIr2.

abc: 6.055 6.055 6.055
angles: 151.54 129.49 59.00
Sites, in units of the cell vectors:
K: 0.000 0.000 0.000
Te: 0.500 0.500 0.000
Ir: 0.274 0.774 0.500
Ir: 0.726 0.226 0.500

## Properties
formation energy (no corrections): 782 meV per atom
space group: Immm

[14]
VASP calculation (PBE-GGA) on a relaxed structure of Pr6PN2Cl3.

abc: 9.264 9.264 8.400
angles: 108.84 108.84 24.20
Sites, in units of the cell vectors:
Pr: 0.024 0.024 0.248
Pr: 0.318 0.318 0.450
Pr: 0.335 0.335 0.867
Pr: 0.665 0.665 0.133
Pr: 0.682 0.682 0.550
Pr: 0.976 0.976 0.752
P: 0.500 0.500 0.000
N: 0.172 0.172 0.340
N: 0.828 0.828 0.660
Cl: 0.163 0.163 0.830
Cl: 0.500 0.500 0.500
Cl: 0.837 0.837 0.170

## Properties
formation energy (no corrections): -1518 meV per atom
space group: C2/m

[15]
VASP calculation (PBE-GGA) on a relaxed structure of Mn2HgOs2.

abc: 7.422 7.422 2.696
angles: 90.00 90.00 90.00
Sites, in units of the cell vectors:
Mn: 0.163 0.337 0.000
Mn: 0.337 0.837 0.000
Mn: 0.663 0.163 0.000
Mn: 0.837 0.663 0.000
Hg: 0.000 0.000 0.500
Hg: 0.500 0.500 0.500
Os: 0.126 0.626 0.500
Os: 0.374 0.126 0.500
Os: 0.626 0.874 0.500
Os: 0.874 0.374 0.500

## Properties
energy of formation: 0.392 eV/atom
space group: P4/mbm

[16]
VASP calculation (PBE-GGA) on a relaxed structure of Tb4Pm2Y7.

abc: 6.108 6.108 13.393
angles: 90.00 90.00 120.00
Sites, in units of the cell vectors:
Tb: 0.000 0.000 0.105
Tb: 0.000 0.000 0.895
Tb: 0.333 0.667 0.000
Tb: 0.667 0.333 0.000
Pm: 0.333 0.667 0.500
Pm: 0.667 0.333 0.500
Y: 0.000 0.000 0.500
Y: 0.000 0.354 0.717
Y: 0.000 0.646 0.283
Y: 0.354 0.000 0.717
Y: 0.354 0.354 0.283
Y: 0.646 0.000 0.283
Y: 0.646 0.646 0.717

## Properties
energy of formation: 0.177 eV/atom
space group: P-31m

[17]
VASP calculation (PBE-GGA) on a relaxed structure of Ba8In2Ir.

abc: 10.885 10.885 8.007
angles: 107.30 107.30 32.40
Sites, in units of the cell vectors:
Ba: 0.023 0.023 0.297
Ba: 0.213 0.213 0.787
Ba: 0.354 0.354 0.553
Ba: 0.408 0.408 0.099
Ba: 0.592 0.592 0.901
Ba: 0.646 0.646 0.447
Ba: 0.787 0.787 0.213
Ba: 0.977 0.977 0.703
In: 0.180 0.180 0.206
In: 0.820 0.820 0.794
Ir: 0.500 0.500 0.500

## Properties
energy of formation: -0.171 eV/atom
space group: C2/m

[18]
VASP calculation (PBE-GGA) on a relaxed structure of Zn2AgAu2.

abc: 7.019 7.019 7.019
angles: 149.26 149.26 44.02
Sites, in units of the cell vectors:
Zn: 0.250 0.750 0.500
Zn: 0.750 0.250 0.500
Ag: 0.000 0.000 0.000
Au: 0.395 0.395 0.000
Au: 0.605 0.605 0.000

## Properties
energy of formation: -0.082 eV/atom
space group: I4/mmm
energy above the most stable polymorph in this dataset: 72 meV per atom

[19]
VASP calculation (PBE-GGA) on a relaxed structure of Nd3Ni3Ge2.

abc: 5.681 5.681 14.413
angles: 90.00 90.00 136.07
Sites, in units of the cell vectors:
Nd: 0.089 0.911 0.604
Nd: 0.089 0.911 0.896
Nd: 0.382 0.618 0.750
Nd: 0.618 0.382 0.250
Nd: 0.911 0.089 0.104
Nd: 0.911 0.089 0.396
Ni: 0.313 0.687 0.250
Ni: 0.378 0.622 0.538
Ni: 0.378 0.622 0.962
Ni: 0.622 0.378 0.038
Ni: 0.622 0.378 0.462
Ni: 0.687 0.313 0.750
Ge: 0.203 0.797 0.097
Ge: 0.203 0.797 0.403
Ge: 0.797 0.203 0.597
Ge: 0.797 0.203 0.903

## Properties
energy of formation: -0.565 eV/atom
space group: Cmcm

[20]
VASP calculation (PBE-GGA) on a relaxed structure of KRbAg2F5.

abc: 4.432 4.432 8.389
angles: 90.00 90.00 90.00
Sites, in units of the cell vectors:
K: 0.000 0.000 0.000
Rb: 0.000 0.000 0.500
Ag: 0.500 0.500 0.216
Ag: 0.500 0.500 0.784
F: 0.000 0.500 0.198
F: 0.000 0.500 0.802
F: 0.500 0.000 0.198
F: 0.500 0.000 0.802
F: 0.500 0.500 0.500

## Properties
formation energy (no corrections): -1868 meV per atom
space group: P4/mmm

Number 1: spin magnetization 0.0 μB per formula unit, energy -5.34 eV per atom. Number 2: spin magnetization 0.0 μB per formula unit, energy -4.66 eV per atom. Number 3: spin magnetization 0.0 μB per formula unit, energy -5.99 eV per atom. Number 4: spin magnetization 4.0 μB per formula unit, energy -4.54 eV per atom. Number 5: spin magnetization 3.4 μB per formula unit, energy -6.39 eV per atom. Number 6: spin magnetization 0.0 μB per formula unit, energy -3.68 eV per atom. Number 7: spin magnetization 0.0 μB per formula unit, energy -4.43 eV per atom. Number 8: spin magnetization 0.0 μB per formula unit, energy -4.66 eV per atom. Number 9: spin magnetization 0.0 μB per formula unit, energy -3.85 eV per atom. Number 10: spin magnetization 0.0 μB per formula unit, energy -3.22 eV per atom. Number 11: spin magnetization 0.0 μB per formula unit, energy -3.97 eV per atom. Number 12: spin magnetization 1.3 μB per formula unit, energy -3.79 eV per atom. Number 13: spin magnetization 0.0 μB per formula unit, energy -4.71 eV per atom. Number 14: spin magnetization 0.0 μB per formula unit, energy -6.21 eV per atom. Number 15: spin magnetization 2.1 μB per formula unit, energy -7.83 eV per atom. Number 16: spin magnetization 0.0 μB per formula unit, energy -5.46 eV per atom. Number 17: spin magnetization 0.0 μB per formula unit, energy -2.87 eV per atom. Number 18: spin magnetization 0.0 μB per formula unit, energy -2.47 eV per atom. Number 19: spin magnetization 0.0 μB per formula unit, energy -5.67 eV per atom. Number 20: spin magnetization 0.0 μB per formula unit, energy -3.77 eV per atom.